[1]
{"formula": "NdTm2Rh", "functional": "PBE-GGA", "state": "optimized geometry", "cell": [[-4.310, 4.241, 2.053], [-4.184, -5.367, 2.305], [4.251, 0.274, 8.355]], "species": ["Rh", "Rh", "Tm", "Tm", "Tm", "Tm", "Nd", "Tm", "Tm", "Rh", "Rh", "Tm", "Nd", "Tm", "Nd", "Nd"], "fractional_positions": [[0.073, 0.383, 0.250], [0.427, 0.883, 0.250], [0.668, 0.824, 0.935], [0.332, 0.176, 0.065], [0.832, 0.324, 0.935], [0.168, 0.676, 0.065], [0.136, 0.967, 0.750], [0.668, 0.824, 0.565], [0.168, 0.676, 0.435], [0.927, 0.617, 0.750], [0.573, 0.117, 0.750], [0.332, 0.176, 0.435], [0.364, 0.467, 0.750], [0.832, 0.324, 0.565], [0.864, 0.033, 0.250], [0.636, 0.533, 0.250]], "volume_a3_per_atom": 26.9, "magmom_total_mub_per_fu": 0.0, "relative_energy_mev_per_atom": 0.0, "formation_energy_mev_per_atom": -520}



[2]
{"formula": "Nd2TmRh3", "functional": "PBE-GGA", "state": "optimized geometry", "cell": [[-4.254, 0.169, -0.157], [-0.304, -4.711, 3.153], [2.230, 5.481, 3.294]], "species": ["Rh", "Nd", "Rh", "Nd", "Tm", "Rh"], "fractional_positions": [[0.355, 0.355, 0.709], [0.329, 0.829, 0.657], [0.000, 0.000, 0.000], [0.671, 0.171, 0.343], [0.000, 0.500, 0.000], [0.645, 0.645, 0.291]], "volume_a3_per_atom": 23.2, "magmom_total_mub_per_fu": 0.0, "formation_energy_mev_per_atom": -546}



[3]
{"formula": "NdURh3", "functional": "PBE-GGA", "state": "optimized geometry", "cell": [[-5.531, 0.332, -3.000], [-3.000, -1.022, 5.419], [1.326, 5.867, -1.796]], "species": ["Rh", "Rh", "Nd", "Rh", "Nd", "Rh", "Rh", "U", "U", "Rh"], "fractional_positions": [[0.750, 0.190, 0.381], [0.250, 0.380, 0.190], [0.750, 0.667, 0.333], [0.250, 0.810, 0.619], [0.250, 0.333, 0.667], [0.750, 0.620, 0.810], [0.250, 0.810, 0.190], [0.500, 0.000, 0.000], [0.000, 0.000, 0.000], [0.750, 0.190, 0.810]], "volume_a3_per_atom": 21.5, "magmom_total_mub_per_fu": 0.5, "formation_energy_mev_per_atom": -466}



[4]
{"formula": "NdURh", "functional": "PBE-GGA", "state": "optimized geometry", "cell": [[6.417, 0.000, 0.000], [3.208, 4.819, 0.000], [3.208, 0.000, 9.022]], "species": ["Nd", "Rh", "Nd", "Nd", "Rh", "Nd", "Rh", "U", "U", "U", "U", "Rh"], "fractional_positions": [[0.338, 0.500, 0.324], [0.205, 0.591, 0.000], [0.162, 0.500, 0.676], [0.588, 0.000, 0.824], [0.955, 0.091, 0.500], [0.412, 0.000, 0.176], [0.795, 0.409, 0.000], [0.846, 0.500, 0.307], [0.654, 0.500, 0.693], [0.096, 0.000, 0.807], [0.904, 0.000, 0.193], [0.545, 0.909, 0.500]], "volume_a3_per_atom": 23.2, "magmom_total_mub_per_fu": 1.9, "formation_energy_mev_per_atom": 186}



[5]
{"formula": "NdVRh", "functional": "PBE-GGA", "state": "optimized geometry", "cell": [[4.893, 0.000, 0.000], [-2.447, 2.450, 0.000], [0.000, 0.000, 10.232]], "species": ["V", "V", "Nd", "Rh", "Rh", "Nd"], "fractional_positions": [[0.194, 0.388, 0.099], [0.194, 0.388, 0.901], [0.695, 0.390, 0.328], [0.694, 0.388, 0.000], [0.195, 0.390, 0.500], [0.695, 0.390, 0.672]], "volume_a3_per_atom": 20.4, "magmom_total_mub_per_fu": 0.0, "formation_energy_mev_per_atom": -83}



[6]
{"formula": "NdVRh2", "functional": "PBE-GGA", "state": "optimized geometry", "cell": [[3.092, 0.000, 0.000], [0.000, 3.092, 0.000], [0.000, 0.000, 7.376]], "species": ["Rh", "Nd", "Rh", "V"], "fractional_positions": [[0.000, 0.000, 0.191], [0.500, 0.500, 0.500], [0.000, 0.000, 0.809], [0.500, 0.500, 0.000]], "volume_a3_per_atom": 17.6, "magmom_total_mub_per_fu": 0.0, "formation_energy_mev_per_atom": -362}



Q: Which formula does entry 3 have?
A: NdURh3